# 1
ThPaTi | PBE | optimized geometry

Cell: 5.1149 5.1149 3.2690 Å, 90.00 90.00 120.00°
With the nearest neighbours (Å) after each atom.
Element x y z (fractional)
Th  0.0000  0.0000  0.0000  6 Pa 3.26-3.50, 2 Th 3.27, 6 Ti 3.27-3.49
Pa  0.3333  0.6667  0.5769  3 Ti 2.99, 3 Th 3.26, 2 Pa 3.27
Ti  0.6667  0.3333  0.4307  3 Pa 2.99, 2 Ti 3.27, 3 Th 3.27

Energy above the most stable polymorph in this dataset in meV per atom: 0.0
Formation energy from the elements in meV/atom: 276


# 2
Tb2Mg2Cd | PBE | optimized geometry

Cell: 6.2098 6.2098 9.2685 Å, 106.08 106.08 49.73°
With the nearest neighbours (Å) after each atom.
Element x y z (fractional)
Tb  0.0372  0.0372  0.3453  7 Mg 3.17-3.52, 2 Cd 3.21-3.53, 2 Tb 3.22-3.36
Tb  0.1627  0.1627  0.0597  6 Mg 3.31-3.59, 2 Cd 3.32, 4 Tb 3.36-3.64
Tb  0.8373  0.8373  0.9403  6 Mg 3.31-3.59, 2 Cd 3.32, 4 Tb 3.36-3.64
Tb  0.9628  0.9628  0.6547  7 Mg 3.17-3.52, 2 Cd 3.21-3.53, 2 Tb 3.22-3.36
Mg  0.3570  0.3570  0.4255  3 Cd 3.01-3.16, 2 Mg 3.09-3.28, 2 Tb 3.35
Mg  0.4754  0.4754  0.1430  1 Mg 2.87, 1 Cd 2.89, 2 Tb 3.17
Mg  0.5246  0.5246  0.8570  1 Mg 2.87, 1 Cd 2.89, 2 Tb 3.17
Mg  0.6430  0.6430  0.5745  3 Cd 3.01-3.16, 2 Mg 3.09-3.28, 2 Tb 3.35
Cd  0.2581  0.2581  0.7101  4 Mg 2.89-3.16, 1 Tb 3.21
Cd  0.7419  0.7419  0.2899  4 Mg 2.89-3.16, 1 Tb 3.21

Energy above the most stable polymorph in this dataset in meV per atom: 0.0
Formation energy from the elements in meV/atom: -119


# 3
CrNi2Se4 | PBE | optimized geometry

Cell: 7.1670 7.1670 7.1670 Å, 120.87 119.01 90.11°
With the nearest neighbours (Å) after each atom.
Element x y z (fractional)
Cr  0.5000  0.0000  0.0000  6 Se 2.48-2.50
Cr  0.5000  0.5000  0.5000  6 Se 2.48-2.50
Ni  0.0000  0.0000  0.0000  6 Se 2.44-2.46
Ni  0.1227  0.3727  0.7500  4 Se 2.30-2.32
Ni  0.5000  0.0000  0.5000  6 Se 2.44-2.46
Ni  0.8773  0.6273  0.2500  4 Se 2.30-2.32
Se  0.2515  0.2411  0.0103  2 Ni 2.32-2.44, 2 Cr 2.48
Se  0.2536  0.2381  0.4845  3 Ni 2.30-2.46, 1 Cr 2.50
Se  0.2536  0.7692  0.0155  3 Ni 2.30-2.46, 1 Cr 2.50
Se  0.2692  0.7589  0.5103  2 Ni 2.32-2.44, 2 Cr 2.48
Se  0.7308  0.2411  0.4897  2 Ni 2.32-2.44, 2 Cr 2.48
Se  0.7464  0.2308  0.9845  3 Ni 2.30-2.46, 1 Cr 2.50
Se  0.7464  0.7619  0.5155  3 Ni 2.30-2.46, 1 Cr 2.50
Se  0.7485  0.7589  0.9897  2 Ni 2.32-2.44, 2 Cr 2.48

Energy relative to the elements, uncorrected in meV per atom: -370


# 4
NaHf2TcAs | PBE | optimized geometry

Cell: 5.0625 5.0625 4.5662 Å, 90.00 90.00 90.00°
With the nearest neighbours (Å) after each atom.
Element x y z (fractional)
Na  0.0000  0.0000  0.0000  8 Hf 3.41, 4 Tc 3.58
Hf  0.0000  0.5000  0.5000  2 As 2.53
Hf  0.5000  0.0000  0.5000  2 As 2.53
Tc  0.5000  0.5000  0.0000  2 As 2.28
As  0.5000  0.5000  0.5000  2 Tc 2.28, 4 Hf 2.53

Formation energy from the elements in meV/atom: 560


# 5
Fe4Ni4Pt3 | PBE | optimized geometry

Cell: 13.2308 13.2308 2.6141 Å, 95.67 95.67 18.01°
With the nearest neighbours (Å) after each atom.
Element x y z (fractional)
Fe  0.0918  0.0918  0.0906  3 Ni 2.39-2.44, 2 Fe 2.61
Fe  0.2687  0.2687  0.7686  4 Ni 2.39-2.53, 6 Fe 2.61-2.64
Fe  0.7313  0.7313  0.2314  4 Ni 2.39-2.53, 6 Fe 2.61-2.64
Fe  0.9082  0.9082  0.9094  3 Ni 2.39-2.44, 2 Fe 2.61
Ni  0.1856  0.1856  0.1852  5 Fe 2.39-2.53, 2 Ni 2.61
Ni  0.4539  0.4539  0.9519  2 Fe 2.39, 3 Ni 2.40-2.61
Ni  0.5461  0.5461  0.0481  2 Fe 2.39, 3 Ni 2.40-2.61
Ni  0.8144  0.8144  0.8148  5 Fe 2.39-2.53, 2 Ni 2.61
Pt  0.0000  0.0000  0.5000  2 Pt 2.61, 4 Fe 2.72, 8 Ni 2.72-2.73
Pt  0.3615  0.3615  0.3616  2 Pt 2.61, 6 Fe 2.73-2.75, 6 Ni 2.73-2.74
Pt  0.6385  0.6385  0.6384  2 Pt 2.61, 6 Fe 2.73-2.75, 6 Ni 2.73-2.74

Formation energy from the elements in meV/atom: -43


# 6
HfZrAs2 | PBE | optimized geometry

Cell: 3.8585 3.8585 5.4318 Å, 90.00 90.00 90.00°
With the nearest neighbours (Å) after each atom.
Element x y z (fractional)
Hf  0.0000  0.0000  0.0000  6 As 2.72-2.73
Zr  0.5000  0.5000  0.5000  6 As 2.72-2.73
As  0.0000  0.0000  0.5000  2 Hf 2.72, 4 Zr 2.73
As  0.5000  0.5000  0.0000  2 Zr 2.72, 4 Hf 2.73

Energy above the most stable polymorph in this dataset in meV per atom: 55.0
Formation energy from the elements in meV/atom: -1003


# 7
Cu2NiOs | PBE | optimized geometry

Cell: 2.5796 2.5796 8.5980 Å, 90.00 90.00 117.03°
With the nearest neighbours (Å) after each atom.
Element x y z (fractional)
Cu  0.0000  0.0000  0.0000  2 Ni 2.48, 8 Cu 2.50-2.69
Cu  0.5000  0.5000  0.2446  8 Cu 2.50-2.69, 2 Os 2.65
Ni  0.5000  0.5000  0.7585  2 Cu 2.48, 2 Os 2.52, 6 Ni 2.58-2.69
Os  0.0000  0.0000  0.5102  2 Ni 2.52, 6 Os 2.58-2.69, 2 Cu 2.65

Energy above the most stable polymorph in this dataset in meV per atom: 125.6
Formation energy from the elements in meV/atom: 269


Number 1: DOS(E_F) 7.688 states/eV/f.u., total energy -7.994 eV/atom. Number 2: DOS(E_F) 4.393 states/eV/f.u., total energy -2.792 eV/atom. Number 3: DOS(E_F) 3.154 states/eV/f.u., total energy -5.388 eV/atom. Number 4: DOS(E_F) 5.584 states/eV/f.u., total energy -6.688 eV/atom. Number 5: DOS(E_F) 13.140 states/eV/f.u., total energy -6.870 eV/atom. Number 6: DOS(E_F) 1.527 states/eV/f.u., total energy -7.953 eV/atom. Number 7: DOS(E_F) 4.242 states/eV/f.u., total energy -6.032 eV/atom.